[1]
VASP calculation (PBE-GGA) on an optimized crystal structure of LiYTlPb.

As for the offset from the most stable computed form: 0.0 meV per atom. The formation energy comes out at -1.5 eV per formula unit. As for the total energy: -3.98 eV/atom.

It has space group Pmmm (No. 47), with a = 4.416 Å, b = 4.696 Å, c = 4.839 Å, α = 90.00°, β = 90.00° and γ = 90.00°. Symmetry generates all atoms from Li at (0.000, 0.000, 0.000), Y at (0.000, 0.500, 0.500), Tl at (0.500, 0.500, 0.000) and Pb at (0.500, 0.000, 0.500).

=====

[2]
VASP calculation (PBE-GGA) on an optimized crystal structure of LiTlZnPb.

The formation energy comes out at -0.2 eV per formula unit. As for the total energy: -2.36 eV/atom.

It has space group F-43m (No. 216), with a = 7.154 Å, b = 7.154 Å, c = 7.154 Å, α = 90.00°, β = 90.00° and γ = 90.00°. Symmetry generates all atoms from Li at (0.000, 0.000, 0.000), Tl at (0.250, 0.250, 0.250), Zn at (0.000, 0.000, 0.500) and Pb at (0.250, 0.250, 0.750).

=====

[3]
VASP calculation (PBE-GGA) on an optimized crystal structure of LiTmPb2.

The formation energy comes out at -1.4 eV per formula unit. As for the total energy: -3.81 eV/atom.

It has space group P4/mmm (No. 123), with a = 4.790 Å, b = 4.790 Å, c = 4.384 Å, α = 90.00°, β = 90.00° and γ = 90.00°. Symmetry generates all atoms from Li at (0.000, 0.000, 0.000), Tm at (0.500, 0.500, 0.000) and Pb at (0.000, 0.500, 0.500).

=====

[4]
VASP calculation (PBE-GGA) on an optimized crystal structure of LiTmPb6.

The formation energy comes out at -1.4 eV per formula unit. As for the total energy: -3.75 eV/atom.

It has space group P4/mmm (No. 123), with a = 4.795 Å, b = 4.795 Å, c = 9.920 Å, α = 90.00°, β = 90.00° and γ = 90.00°. Symmetry generates all atoms from Li at (0.000, 0.000, 0.000), Tm at (0.000, 0.000, 0.500), Pb at (0.000, 0.500, 0.246), Pb at (0.500, 0.500, 0.000) and Pb at (0.500, 0.500, 0.500).